# 1
Density functional theory data (GGA-PBE) for a relaxed Na3In3Sn8 crystal.

```
Na3In3Sn8
1.0
-2.6431 6.1324 6.1596
2.6431 -6.1324 6.1596
2.6431 6.1324 -6.1596
Na In Sn
3 3 8
direct
0.0000 0.0000 0.0000
0.2772 0.0000 0.2772
0.7228 0.0000 0.7228
0.3528 0.8528 0.5000
0.5000 0.5000 0.0000
0.6472 0.1472 0.5000
0.0069 0.3715 0.6354
0.1296 0.2647 0.8649
0.2639 0.6285 0.6354
0.3998 0.2647 0.1351
0.6002 0.7353 0.8649
0.7361 0.3715 0.3646
0.8704 0.7353 0.1351
0.9931 0.6285 0.3646
```

Summary:
Total DFT energy (no corrections) (hartree per atom): -0.118

# 2
Density functional theory data (GGA-PBE) for a relaxed Na3InSn12 crystal.

```
Na3InSn12
1.0
4.6588 0.0000 0.0000
0.0000 4.6588 0.0000
0.0000 0.0000 19.8351
Na In Sn
3 1 12
direct
0.0000 0.0000 0.0000
0.0000 0.0000 0.2469
0.0000 0.0000 0.7531
0.0000 0.0000 0.5000
0.0000 0.5000 0.1239
0.0000 0.5000 0.3710
0.0000 0.5000 0.6290
0.0000 0.5000 0.8761
0.5000 0.0000 0.1239
0.5000 0.0000 0.3710
0.5000 0.0000 0.6290
0.5000 0.0000 0.8761
0.5000 0.5000 0.0000
0.5000 0.5000 0.2468
0.5000 0.5000 0.5000
0.5000 0.5000 0.7532
```

Summary:
Total DFT energy (no corrections) (hartree per atom): -0.128

# 3
Density functional theory data (GGA-PBE) for a relaxed NaIn3Sn3 crystal.

```
NaIn3Sn3
1.0
8.1477 0.0000 0.0000
0.0000 8.1477 0.0000
0.0000 0.0000 8.1477
Na In Sn
2 6 6
direct
0.0000 0.0000 0.0000
0.5000 0.5000 0.5000
0.0000 0.2500 0.5000
0.0000 0.7500 0.5000
0.2500 0.5000 0.0000
0.5000 0.0000 0.2500
0.5000 0.0000 0.7500
0.7500 0.5000 0.0000
0.0000 0.5000 0.2500
0.0000 0.5000 0.7500
0.2500 0.0000 0.5000
0.5000 0.2500 0.0000
0.5000 0.7500 0.0000
0.7500 0.0000 0.5000
```

Summary:
ΔE to the lowest computed polymorph (meV/atom): 161.0
Total DFT energy (no corrections) (hartree per atom): -0.107

# 4
Density functional theory data (GGA-PBE) for a relaxed NaIn2Sn2 crystal.

```
NaIn2Sn2
1.0
5.2219 0.0000 0.0000
-2.6110 4.5223 0.0000
0.0000 0.0000 17.9061
Na In Sn
3 6 6
direct
0.0000 0.0000 0.0000
0.3333 0.6667 0.6667
0.6667 0.3333 0.3333
0.0000 0.0000 0.2169
0.0000 0.0000 0.7831
0.3333 0.6667 0.4498
0.3333 0.6667 0.8835
0.6667 0.3333 0.1165
0.6667 0.3333 0.5502
0.0000 0.0000 0.4151
0.0000 0.0000 0.5849
0.3333 0.6667 0.0818
0.3333 0.6667 0.2516
0.6667 0.3333 0.7484
0.6667 0.3333 0.9182
```

Summary:
ΔE to the lowest computed polymorph (meV/atom): 43.7
Total DFT energy (no corrections) (hartree per atom): -0.110

# 5
Density functional theory data (GGA-PBE) for a relaxed NaIn6Sn crystal.

```
NaIn6Sn
1.0
4.2239 2.4387 3.8772
-4.2239 2.4387 3.8772
0.0000 -4.8773 3.8772
Na In Sn
1 6 1
direct
0.0000 0.0000 0.0000
0.1604 0.1604 0.5361
0.1604 0.5361 0.1604
0.4639 0.8396 0.8396
0.5361 0.1604 0.1604
0.8396 0.4639 0.8396
0.8396 0.8396 0.4639
0.5000 0.5000 0.5000
```

Summary:
ΔE to the lowest computed polymorph (meV/atom): 146.9
Total DFT energy (no corrections) (hartree per atom): -0.096

# 6
Density functional theory data (GGA-PBE) for a relaxed Na2In2Sn crystal.

```
Na2In2Sn
1.0
8.6528 0.0000 0.0000
0.0000 8.6528 0.0000
0.0000 0.0000 3.6758
Na In Sn
4 4 2
direct
0.1318 0.3682 0.0000
0.3682 0.8682 0.0000
0.6318 0.1318 0.0000
0.8682 0.6318 0.0000
0.1682 0.6682 0.5000
0.3318 0.1682 0.5000
0.6682 0.8318 0.5000
0.8318 0.3318 0.5000
0.0000 0.0000 0.0000
0.5000 0.5000 0.0000
```

Summary:
ΔE to the lowest computed polymorph (meV/atom): 168.8
Total DFT energy (no corrections) (hartree per atom): -0.087

# 7
Density functional theory data (GGA-PBE) for a relaxed NaIn4Sn4 crystal.

```
NaIn4Sn4
1.0
7.0703 0.0000 0.0000
0.0000 7.0703 0.0000
0.0000 0.0000 10.7784
Na In Sn
2 8 8
direct
0.2500 0.7500 0.2500
0.7500 0.2500 0.7500
0.0422 0.2500 0.1903
0.2500 0.0422 0.6903
0.2500 0.4578 0.6903
0.4578 0.2500 0.1903
0.5422 0.7500 0.8097
0.7500 0.5422 0.3097
0.7500 0.9578 0.3097
0.9578 0.7500 0.8097
0.0266 0.7500 0.5212
0.2500 0.5266 0.9788
0.2500 0.9734 0.9788
0.4734 0.7500 0.5212
0.5266 0.2500 0.4788
0.7500 0.0266 0.0212
0.7500 0.4734 0.0212
0.9734 0.2500 0.4788
```

Summary:
ΔE to the lowest computed polymorph (meV/atom): 45.0
Total DFT energy (no corrections) (hartree per atom): -0.114

# 8
Density functional theory data (GGA-PBE) for a relaxed Na5In2Sn12 crystal.

```
Na5In2Sn12
1.0
13.9434 -3.6729 0.0000
13.9434 3.6729 0.0000
-0.2013 0.0000 5.2865
Na In Sn
5 2 12
direct
0.0000 0.0000 0.0000
0.2640 0.2640 0.0016
0.3858 0.3858 0.5364
0.6142 0.6142 0.4636
0.7360 0.7360 0.9984
0.2799 0.7201 0.5000
0.7201 0.2799 0.5000
0.0047 0.6004 0.5135
0.0730 0.6588 0.0273
0.0866 0.0866 0.4697
0.3412 0.9270 0.9727
0.3996 0.9953 0.4865
0.4478 0.4478 0.0489
0.5522 0.5522 0.9511
0.6004 0.0047 0.5135
0.6588 0.0730 0.0273
0.9134 0.9134 0.5303
0.9270 0.3412 0.9727
0.9953 0.3996 0.4865
```

Summary:
Total DFT energy (no corrections) (hartree per atom): -0.119

# 9
Density functional theory data (GGA-PBE) for a relaxed NaIn12Sn6 crystal.

```
NaIn12Sn6
1.0
7.0621 4.0773 3.2701
-7.0621 4.0773 3.2701
0.0000 -8.1546 3.2701
Na In Sn
1 12 6
direct
0.0000 0.0000 0.0000
0.1116 0.5000 0.8884
0.1116 0.8884 0.5000
0.1199 0.3535 0.3535
0.3535 0.1199 0.3535
0.3535 0.3535 0.1199
0.5000 0.1116 0.8884
0.5000 0.8884 0.1116
0.6465 0.6465 0.8801
0.6465 0.8801 0.6465
0.8801 0.6465 0.6465
0.8884 0.1116 0.5000
0.8884 0.5000 0.1116
0.2870 0.6955 0.6955
0.3045 0.3045 0.7130
0.3045 0.7130 0.3045
0.6955 0.2870 0.6955
0.6955 0.6955 0.2870
0.7130 0.3045 0.3045
```

Summary:
ΔE to the lowest computed polymorph (meV/atom): 14.3
Total DFT energy (no corrections) (hartree per atom): -0.111

# 10
Density functional theory data (GGA-PBE) for a relaxed Na3In3Sn2 crystal.

```
Na3In3Sn2
1.0
4.2763 2.4689 3.4378
-4.2763 2.4689 3.4378
0.0000 -4.9378 3.4378
Na In Sn
3 3 2
direct
0.0000 0.2485 0.7515
0.2485 0.7515 0.0000
0.7515 0.0000 0.2485
0.2507 0.7493 0.5000
0.5000 0.2507 0.7493
0.7493 0.5000 0.2507
0.2609 0.2609 0.2609
0.7391 0.7391 0.7391
```

Summary:
Total DFT energy (no corrections) (hartree per atom): -0.096

# 11
Density functional theory data (GGA-PBE) for a relaxed Na3In4Sn crystal.

```
Na3In4Sn
1.0
9.1180 0.0000 0.0000
0.0000 6.8800 0.0000
0.0000 0.0000 6.7217
Na In Sn
6 8 2
direct
0.0000 0.0000 0.0000
0.2500 0.2535 0.2500
0.2500 0.7465 0.7500
0.5000 0.0000 0.5000
0.7500 0.2535 0.2500
0.7500 0.7465 0.7500
0.0000 0.0000 0.5000
0.0000 0.5000 0.5000
0.2500 0.2528 0.7500
0.2500 0.7472 0.2500
0.5000 0.0000 0.0000
0.5000 0.5000 0.0000
0.7500 0.2528 0.7500
0.7500 0.7472 0.2500
0.0000 0.5000 0.0000
0.5000 0.5000 0.5000
```

Summary:
ΔE to the lowest computed polymorph (meV/atom): 0.0
Total DFT energy (no corrections) (hartree per atom): -0.091

# 12
Density functional theory data (GGA-PBE) for a relaxed NaIn2Sn3 crystal.

```
NaIn2Sn3
1.0
3.3319 -4.7353 0.0000
3.3319 4.7353 0.0000
-2.8046 0.0000 10.2956
Na In Sn
2 4 6
direct
0.1285 0.8715 0.7500
0.8715 0.1285 0.2500
0.0426 0.2976 0.5830
0.2976 0.0426 0.0830
0.7024 0.9574 0.9170
0.9574 0.7024 0.4170
0.2025 0.4447 0.9167
0.3824 0.6176 0.2500
0.4447 0.2025 0.4167
0.5553 0.7975 0.5833
0.6176 0.3824 0.7500
0.7975 0.5553 0.0833
```

Summary:
ΔE to the lowest computed polymorph (meV/atom): 20.4
Total DFT energy (no corrections) (hartree per atom): -0.116